[1]
A relaxed structure of CuSiB2. Source: the Alexandria database, functional PBE.

Raw formation energy = 0.83 eV/atom

CIF file:
```
data_CuSiB2
_cell_length_a 4.735
_cell_length_b 4.735
_cell_length_c 9.212
_cell_angle_alpha 90.00
_cell_angle_beta 90.00
_cell_angle_gamma 90.00
_space_group_name_H-M_alt 'I -4 2 d'
_space_group_IT_number 122
_space_group_name_Hall 'I -4 2bw'
loop_
_atom_site_label
_atom_site_type_symbol
_atom_site_fract_x
_atom_site_fract_y
_atom_site_fract_z
Cu1 Cu 0.000 0.000 0.000
Si1 Si 0.000 0.000 0.500
B1 B 0.244 0.250 0.625
```

[2]
A relaxed structure of CsTaIr2. Source: the Alexandria database, functional PBE.

E_form = 78.69 kJ/mol of atoms

CIF file:
```
data_CsTaIr2
_cell_length_a 7.510
_cell_length_b 7.510
_cell_length_c 7.977
_cell_angle_alpha 90.00
_cell_angle_beta 90.00
_cell_angle_gamma 90.00
_space_group_name_H-M_alt 'I -4 2 d'
_space_group_IT_number 122
_space_group_name_Hall 'I -4 2bw'
loop_
_atom_site_label
_atom_site_type_symbol
_atom_site_fract_x
_atom_site_fract_y
_atom_site_fract_z
Cs1 Cs 0.000 0.000 0.000
Ta1 Ta 0.000 0.000 0.500
Ir1 Ir 0.165 0.250 0.625
```

[3]
A relaxed structure of AsWSe2. Source: the Alexandria database, functional PBE.

Raw formation energy = 0.38 eV/atom

CIF file:
```
data_AsWSe2
_cell_length_a 3.717
_cell_length_b 4.844
_cell_length_c 4.526
_cell_angle_alpha 90.00
_cell_angle_beta 105.17
_cell_angle_gamma 90.00
_space_group_name_H-M_alt 'P 1 m 1'
_space_group_IT_number 6
loop_
_space_group_symop_operation_xyz
'x,y,z'
'x,-y,z'
loop_
_atom_site_label
_atom_site_type_symbol
_atom_site_fract_x
_atom_site_fract_y
_atom_site_fract_z
As1 As 0.000 0.000 0.000
W1 W 0.766 0.500 0.218
Se1 Se 0.363 0.500 0.637
Se2 Se 0.624 0.000 0.390
```

[4]
A relaxed structure of CsRbGaH6. Source: the Alexandria database, functional PBE.

VASP energy = -47.31 eV per cell

CIF file:
```
data_CsRbGaH6
_cell_length_a 6.286
_cell_length_b 10.899
_cell_length_c 4.920
_cell_angle_alpha 90.00
_cell_angle_beta 90.01
_cell_angle_gamma 90.00
_space_group_name_H-M_alt 'C 1 2 1'
_space_group_IT_number 5
loop_
_space_group_symop_operation_xyz
'x,y,z'
'-x,y,-z'
'x+1/2,y+1/2,z'
'-x+1/2,y+1/2,-z'
loop_
_atom_site_label
_atom_site_type_symbol
_atom_site_fract_x
_atom_site_fract_y
_atom_site_fract_z
Cs1 Cs 0.000 0.000 0.000
Rb1 Rb 0.000 0.667 0.500
Ga1 Ga 0.000 0.334 0.500
H1 H 0.106 0.447 0.708
H2 H 0.116 0.223 0.706
H3 H 0.224 0.330 0.293
```

[5]
A relaxed structure of TiGaCu. Source: the Alexandria database, functional PBE.

E_form = -21.45 kJ/mol of atoms

CIF file:
```
data_TiGaCu
_cell_length_a 5.780
_cell_length_b 5.780
_cell_length_c 5.780
_cell_angle_alpha 90.00
_cell_angle_beta 90.00
_cell_angle_gamma 90.00
_space_group_name_H-M_alt 'F -4 3 m'
_space_group_IT_number 216
_space_group_name_Hall 'F -4 2 3'
loop_
_atom_site_label
_atom_site_type_symbol
_atom_site_fract_x
_atom_site_fract_y
_atom_site_fract_z
Ti1 Ti 0.000 0.000 0.000
Ga1 Ga 0.000 0.000 0.500
Cu1 Cu 0.250 0.250 0.250
```

[6]
A relaxed structure of TmTh2Ag. Source: the Alexandria database, functional PBE.

E_form = 2.18 kJ/mol of atoms

CIF file:
```
data_TmTh2Ag
_cell_length_a 3.518
_cell_length_b 3.518
_cell_length_c 9.392
_cell_angle_alpha 90.00
_cell_angle_beta 90.00
_cell_angle_gamma 90.00
_space_group_name_H-M_alt 'P 4/m m m'
_space_group_IT_number 123
_space_group_name_Hall '-P 4 2'
loop_
_atom_site_label
_atom_site_type_symbol
_atom_site_fract_x
_atom_site_fract_y
_atom_site_fract_z
Tm1 Tm 0.000 0.000 0.000
Th1 Th 0.500 0.500 0.273
Ag1 Ag 0.000 0.000 0.500
```

[7]
A relaxed structure of Li2CuAu. Source: the Alexandria database, functional PBE.

E_form = -31.77 kJ/mol of atoms

CIF file:
```
data_Li2CuAu
_cell_length_a 3.905
_cell_length_b 3.905
_cell_length_c 7.528
_cell_angle_alpha 90.00
_cell_angle_beta 90.00
_cell_angle_gamma 90.00
_space_group_name_H-M_alt 'I -4 m 2'
_space_group_IT_number 119
_space_group_name_Hall 'I -4 -2'
loop_
_atom_site_label
_atom_site_type_symbol
_atom_site_fract_x
_atom_site_fract_y
_atom_site_fract_z
Li1 Li 0.000 0.000 0.000
Li2 Li 0.000 0.500 0.250
Cu1 Cu 0.000 0.500 0.750
Au1 Au 0.000 0.000 0.500
```

[8]
A relaxed structure of AlRhCl3. Source: the Alexandria database, functional PBE.

Raw formation energy = -0.06 eV/atom

CIF file:
```
data_AlRhCl3
_cell_length_a 4.758
_cell_length_b 4.758
_cell_length_c 4.758
_cell_angle_alpha 90.00
_cell_angle_beta 90.00
_cell_angle_gamma 90.00
_space_group_name_H-M_alt 'P m -3 m'
_space_group_IT_number 221
_space_group_name_Hall '-P 4 2 3'
loop_
_atom_site_label
_atom_site_type_symbol
_atom_site_fract_x
_atom_site_fract_y
_atom_site_fract_z
Al1 Al 0.000 0.000 0.000
Rh1 Rh 0.500 0.500 0.500
Cl1 Cl 0.000 0.000 0.500
```

[9]
A relaxed structure of In2AsRh. Source: the Alexandria database, functional PBE.

E_form = -0.49 kJ/mol of atoms

CIF file:
```
data_In2AsRh
_cell_length_a 3.365
_cell_length_b 3.723
_cell_length_c 6.175
_cell_angle_alpha 90.00
_cell_angle_beta 91.74
_cell_angle_gamma 90.00
_space_group_name_H-M_alt 'P 1 2/m 1'
_space_group_IT_number 10
loop_
_space_group_symop_operation_xyz
'x,y,z'
'-x,-y,-z'
'-x,y,-z'
'x,-y,z'
loop_
_atom_site_label
_atom_site_type_symbol
_atom_site_fract_x
_atom_site_fract_y
_atom_site_fract_z
In1 In 0.004 0.000 0.237
As1 As 0.500 0.500 0.500
Rh1 Rh 0.500 0.500 0.000
```

[10]
A relaxed structure of LaRe. Source: the Alexandria database, functional PBE.

E_form = 45.70 kJ/mol of atoms

CIF file:
```
data_LaRe
_cell_length_a 3.606
_cell_length_b 3.606
_cell_length_c 8.563
_cell_angle_alpha 90.00
_cell_angle_beta 90.00
_cell_angle_gamma 90.00
_space_group_name_H-M_alt 'P 4/n m m'
_space_group_IT_number 129
loop_
_space_group_symop_operation_xyz
'x,y,z'
'-x,-y,-z'
'-y+1/2,x,z'
'y+1/2,-x,-z'
'-x+1/2,-y+1/2,z'
'x+1/2,y+1/2,-z'
'y,-x+1/2,z'
'-y,x+1/2,-z'
'x+1/2,-y,-z'
'-x+1/2,y,z'
'-y,-x,-z'
'y,x,z'
'-x,y+1/2,-z'
'x,-y+1/2,z'
'y+1/2,x+1/2,-z'
'-y+1/2,-x+1/2,z'
loop_
_atom_site_label
_atom_site_type_symbol
_atom_site_fract_x
_atom_site_fract_y
_atom_site_fract_z
La1 La 0.250 0.250 0.193
Re1 Re 0.250 0.750 0.500
```

[11]
A relaxed structure of Mg3TaSn. Source: the Alexandria database, functional PBE.

E_form = 115.63 kJ/mol of atoms

CIF file:
```
data_Mg3TaSn
_cell_length_a 5.378
_cell_length_b 5.378
_cell_length_c 5.378
_cell_angle_alpha 90.00
_cell_angle_beta 90.00
_cell_angle_gamma 90.00
_space_group_name_H-M_alt 'P m -3 m'
_space_group_IT_number 221
_space_group_name_Hall '-P 4 2 3'
loop_
_atom_site_label
_atom_site_type_symbol
_atom_site_fract_x
_atom_site_fract_y
_atom_site_fract_z
Mg1 Mg 0.000 0.000 0.500
Ta1 Ta 0.000 0.000 0.000
Sn1 Sn 0.500 0.500 0.500
```

[12]
A relaxed structure of CsGaHg3. Source: the Alexandria database, functional PBE.

E_form = 46.68 kJ/mol of atoms

CIF file:
```
data_CsGaHg3
_cell_length_a 6.783
_cell_length_b 6.783
_cell_length_c 6.783
_cell_angle_alpha 90.00
_cell_angle_beta 90.00
_cell_angle_gamma 90.00
_space_group_name_H-M_alt 'P m -3 m'
_space_group_IT_number 221
_space_group_name_Hall '-P 4 2 3'
loop_
_atom_site_label
_atom_site_type_symbol
_atom_site_fract_x
_atom_site_fract_y
_atom_site_fract_z
Cs1 Cs 0.000 0.000 0.000
Ga1 Ga 0.500 0.500 0.500
Hg1 Hg 0.000 0.000 0.500
```